First-principles (GGA-PBE) data for a relaxed CrIrI2N crystal, as listed in Alexandria.

a = 5.357 Å, b = 5.357 Å, c = 3.514 Å
α = 90.00°, β = 90.00°, γ = 90.00°
Space group P4/mmm (No. 123)
Asymmetric unit:
Cr 0.000 0.000 0.000 [1 per cell]
Ir 0.500 0.500 0.500 [1 per cell]
I 0.000 0.500 0.000 [2 per cell]
N 0.000 0.000 0.500 [1 per cell]

Its formation energy without anion corrections is 0.87 eV/atom. The calculation puts the total moment at 1.7 Bohr magnetons per cell. For the total energy, the calculation gives -25.55 eV per cell. The value obtained for the energy relative to the lowest polymorph listed for this composition is 27.1 kJ/mol of atoms. The calculation puts the volume at 20.2 A^3/atom.